Entry from the Alexandria database: a geometry-optimized HgRh2W structure (PBE-GGA).

- energy relative to the elements (eV per formula unit) = 0.875
- uncorrected energy (eV per atom) = -6.7707

CIF file:
```
data_HgRh2W
_chemical_formula_sum 'Hg2 Rh4 W2'
_space_group_name_H-M_alt 'C 1 2/m 1'
_space_group_IT_number 12
_cell_length_a 9.107
_cell_length_b 2.829
_cell_length_c 5.094
_cell_angle_alpha 90.00
_cell_angle_beta 99.65
_cell_angle_gamma 90.00
loop_
_space_group_symop_operation_xyz
'x,y,z'
'-x,-y,-z'
'-x,y,-z'
'x,-y,z'
'x+1/2,y+1/2,z'
'-x+1/2,-y+1/2,-z'
'-x+1/2,y+1/2,-z'
'x+1/2,-y+1/2,z'
loop_
_atom_site_label
_atom_site_fract_x
_atom_site_fract_y
_atom_site_fract_z
_atom_site_occupancy
Hg1 0.000 0.000 0.000 1
Rh1 0.244 0.000 0.725 1
W1 0.000 0.500 0.500 1
```